Entry 1:
Computed, not measured: an optimized crystal structure of TiFePtN2 at the PBE level of DFT.

Uncorrected energy   -33.8 eV/cell
Formation energy (no corrections)   1.06 eV/atom
Density of states at the Fermi level   6.690 states/eV/f.u.

a = 3.793 Å, b = 5.227 Å, c = 3.793 Å
α = 90.00°, β = 90.00°, γ = 90.00°
Positions (direct):
N1 0.000 0.000 0.500
N2 0.500 0.000 0.000
Fe1 0.500 0.500 0.500
Pt1 0.000 0.500 0.000
Ti1 0.000 0.000 0.000

Entry 2:
Computed, not measured: an optimized crystal structure of TiFePt2N at the PBE level of DFT.

Uncorrected energy   -28.8 eV/cell
Formation energy (no corrections)   1.60 eV/atom
Density of states at the Fermi level   5.543 states/eV/f.u.

a = 4.574 Å, b = 4.368 Å, c = 4.574 Å
α = 90.00°, β = 90.00°, γ = 90.00°
Positions (direct):
N1 0.500 0.500 0.500
Fe1 0.000 0.000 0.000
Pt1 0.000 0.000 0.500
Pt2 0.500 0.000 0.000
Ti1 0.000 0.500 0.000

Entry 3:
Computed, not measured: an optimized crystal structure of VFe2PtN at the PBE level of DFT.

Uncorrected energy   -42.4 eV/cell
Formation energy (no corrections)   -0.40 eV/atom
Density of states at the Fermi level   4.558 states/eV/f.u.

a = 3.871 Å, b = 3.871 Å, c = 3.905 Å
α = 90.00°, β = 90.00°, γ = 90.00°
Positions (direct):
N1 0.000 0.000 0.000
Fe1 0.000 0.500 0.000
Fe2 0.500 0.000 0.000
Pt1 0.500 0.500 0.500
V1 0.000 0.000 0.500

Entry 4:
Computed, not measured: an optimized crystal structure of Fe2PtWN at the PBE level of DFT.

Uncorrected energy   -44.9 eV/cell
Formation energy (no corrections)   -0.13 eV/atom
Density of states at the Fermi level   5.619 states/eV/f.u.

a = 3.899 Å, b = 3.899 Å, c = 4.032 Å
α = 90.00°, β = 90.00°, γ = 90.00°
Positions (direct):
N1 0.000 0.000 0.000
W1 0.000 0.000 0.500
Pt1 0.500 0.500 0.500
Fe1 0.000 0.500 0.000
Fe2 0.500 0.000 0.000